(1)
The following is a DFT calculation (GGA-PBE) of an optimized crystal structure of PmSmHo2Er2. Values from VASP.

The structure in Quantum ESPRESSO input format:
```
&SYSTEM
  ibrav = 0, nat = 12, ntyp = 4
/
ATOMIC_SPECIES
Er 167.26 Er.upf
Ho 164.93 Ho.upf
Sm 150.36 Sm.upf
Pm 145.00 Pm.upf
ATOMIC_POSITIONS angstrom
Er 0.0000 5.0746 3.2217
Er 0.0000 1.5129 14.4211
Ho 1.6921 5.0864 6.1640
Er 1.6921 4.8067 12.0431
Er 1.6921 1.7808 5.5997
Sm 0.0000 0.0000 8.8214
Ho 0.0000 1.7927 2.6574
Pm 1.6921 3.2938 8.8214
Pm 0.0000 0.0000 0.0000
Ho 1.6921 1.5011 11.4788
Ho 0.0000 4.7948 14.9854
Sm 1.6921 3.2938 0.0000
CELL_PARAMETERS angstrom
3.3841 0.0000 0.0000
0.0000 6.5875 0.0000
0.0000 0.0000 17.6428
```

Summary:
The value obtained for the density of states at the Fermi level is 1.515 states/eV/atom. The calculation puts the spin magnetization at 0.001 μB per cell. As for the space-group type: Pnnm. As for the calculated volume: 32.776 A^3/atom. The formation energy comes out at 281 meV/atom. The crystal system is orthorhombic.


(2)
The following is a DFT calculation (GGA-PBE) of an optimized crystal structure of GaCuCl2. Values from VASP.

The structure in Quantum ESPRESSO input format:
```
&SYSTEM
  ibrav = 0, nat = 4, ntyp = 3
/
ATOMIC_SPECIES
Ga 69.72 Ga.upf
Cu 63.55 Cu.upf
Cl 35.45 Cl.upf
ATOMIC_POSITIONS angstrom
Ga -4.0624 -4.1307 1.2594
Cu 0.0000 0.0000 0.0000
Cl -2.0312 -2.0653 0.6297
Cl -6.0935 -6.1960 1.8891
CELL_PARAMETERS angstrom
-3.2448 -1.4847 3.2713
-4.1406 -2.0441 -1.4530
-0.7393 -4.7325 0.7005
```

Summary:
As for the distance to the lowest polymorph of the same formula: 319 meV per atom. The value obtained for the density of states at the Fermi level is 0.000 states/eV/atom. The uncorrected formation energy is -187 meV per atom. The calculation puts the spin magnetization at 0.000 μB per cell. As for the space-group type: Fm-3m. As for the calculated volume: 20.054 A^3/atom. The crystal system is cubic.


(3)
The following is a DFT calculation (GGA-PBE) of an optimized crystal structure of CaCd4O5. Values from VASP.

The structure in Quantum ESPRESSO input format:
```
&SYSTEM
  ibrav = 0, nat = 10, ntyp = 3
/
ATOMIC_SPECIES
O 16.00 O.upf
Cd 112.41 Cd.upf
Ca 40.08 Ca.upf
ATOMIC_POSITIONS angstrom
O 1.1061 4.1470 5.7333
Cd 1.2260 1.8297 6.3550
Cd 1.8537 2.7737 0.6417
O -0.1238 2.3115 -0.6416
O 1.9737 0.4564 1.2634
Cd 2.4668 3.6886 3.8195
O 2.5897 1.3757 4.4564
Cd 0.6130 0.9148 3.1772
Ca 0.0000 0.0000 0.0000
O 0.4901 3.2277 2.5404
CELL_PARAMETERS angstrom
3.3357 0.0000 -0.6435
-0.2476 4.6230 -1.2833
-0.0083 -0.0196 8.9236
```

Summary:
As for the distance to the lowest polymorph of the same formula: 0 meV per atom. The value obtained for the density of states at the Fermi level is 0.235 states/eV/atom. The uncorrected formation energy is -1418 meV per atom. The calculation puts the spin magnetization at 0.000 μB per cell. As for the space-group type: Immm. As for the calculated volume: 13.750 A^3/atom. The crystal system is orthorhombic.


(4)
The following is a DFT calculation (GGA-PBE) of an optimized crystal structure of NdTm2H8. Values from VASP.

The structure in Quantum ESPRESSO input format:
```
&SYSTEM
  ibrav = 0, nat = 11, ntyp = 3
/
ATOMIC_SPECIES
H 1.01 H.upf
Tm 168.93 Tm.upf
Nd 144.24 Nd.upf
ATOMIC_POSITIONS angstrom
H 0.4294 0.8755 1.4110
H 1.0883 0.8160 3.5759
H -0.2241 1.2968 -0.7365
Tm 0.0777 3.1908 0.2555
H 2.2868 4.1517 1.2749
H 1.6279 4.2112 -0.8900
Tm 2.6385 1.8364 2.4305
H 1.9866 2.1363 0.2885
Nd 1.7378 0.0000 -0.5289
H 2.9404 3.7304 3.4224
H 0.7296 2.8908 2.3974
CELL_PARAMETERS angstrom
3.4756 0.0000 -1.0578
-0.7751 4.4840 -2.5467
0.0156 0.5431 6.2904
```

Summary:
The value obtained for the density of states at the Fermi level is 0.089 states/eV/atom. The calculation puts the spin magnetization at 0.000 μB per cell. The calculation puts the uncorrected energy at -47.163 eV/cell. As for the space-group type: Immm. As for the calculated volume: 9.396 A^3/atom. The crystal system is orthorhombic.


(5)
The following is a DFT calculation (GGA-PBE) of an optimized crystal structure of LaPrBiAs. Values from VASP.

The structure in Quantum ESPRESSO input format:
```
&SYSTEM
  ibrav = 0, nat = 4, ntyp = 4
/
ATOMIC_SPECIES
Pr 140.91 Pr.upf
As 74.92 As.upf
Bi 208.98 Bi.upf
La 138.91 La.upf
ATOMIC_POSITIONS angstrom
Pr -4.2806 4.7562 7.2165
As 0.7335 5.7268 5.3269
Bi -2.8864 3.1083 4.7669
La -1.5086 1.4288 2.2950
CELL_PARAMETERS angstrom
-4.1004 1.6991 0.6236
-2.4245 -1.2452 3.5581
0.7381 5.7357 5.3331
```

Summary:
The value obtained for the density of states at the Fermi level is 0.182 states/eV/atom. The calculation puts the spin magnetization at 0.000 μB per cell. As for the space-group type: R3m. As for the calculated volume: 32.311 A^3/atom. The formation energy comes out at -1253 meV/atom. The crystal system is trigonal.


(6)
The following is a DFT calculation (GGA-PBE) of an optimized crystal structure of Pb3F. Values from VASP.

The structure in Quantum ESPRESSO input format:
```
&SYSTEM
  ibrav = 0, nat = 4, ntyp = 2
/
ATOMIC_SPECIES
Pb 207.20 Pb.upf
F 19.00 F.upf
ATOMIC_POSITIONS angstrom
Pb 0.0000 2.4978 2.9581
F 0.0000 5.4864 0.0000
Pb 1.8015 -0.4973 1.9509
Pb 1.8015 2.4969 0.0000
CELL_PARAMETERS angstrom
3.6030 0.0000 0.0000
0.0000 5.9903 0.0000
-1.8015 -2.9951 4.9090
```

Summary:
The value obtained for the density of states at the Fermi level is 0.297 states/eV/atom. The uncorrected formation energy is -661 meV per atom. The calculation puts the spin magnetization at 0.000 μB per cell. As for the space-group type: Imm2. As for the calculated volume: 26.488 A^3/atom. The crystal system is orthorhombic.


(7)
The following is a DFT calculation (GGA-PBE) of an optimized crystal structure of Th6TaSn10. Values from VASP.

The structure in Quantum ESPRESSO input format:
```
&SYSTEM
  ibrav = 0, nat = 17, ntyp = 3
/
ATOMIC_SPECIES
Sn 118.71 Sn.upf
Th 232.04 Th.upf
Ta 180.95 Ta.upf
ATOMIC_POSITIONS angstrom
Sn 0.0000 2.7174 4.7068
Th 1.5752 3.1603 -1.8246
Ta 3.1071 0.0000 0.0000
Sn 4.8096 6.1794 3.5677
Sn 0.0000 5.4349 0.0000
Sn 4.8096 1.9729 -1.1391
Sn 3.1071 5.4349 0.0000
Th 1.5752 0.0000 3.6492
Th 4.6390 4.9921 -2.8822
Sn 4.8096 0.0000 2.2781
Sn 1.4046 0.0000 7.1354
Th 1.5752 4.9921 2.8822
Sn 1.4046 1.9729 1.1391
Sn 1.4046 6.1794 -3.5677
Sn 3.1071 2.7174 4.7068
Th 4.6390 0.0000 5.7644
Th 4.6390 3.1603 1.8246
CELL_PARAMETERS angstrom
6.2142 0.0000 0.0000
0.0000 8.1524 -4.7068
0.0000 0.0000 9.4135
```

Summary:
The value obtained for the density of states at the Fermi level is 0.550 states/eV/atom. The calculation puts the spin magnetization at 0.000 μB per cell. As for the space-group type: P-31m. As for the calculated volume: 28.053 A^3/atom. The formation energy comes out at -426 meV/atom. The crystal system is trigonal.


(8)
The following is a DFT calculation (GGA-PBE) of an optimized crystal structure of SrLaCdGe. Values from VASP.

The structure in Quantum ESPRESSO input format:
```
&SYSTEM
  ibrav = 0, nat = 4, ntyp = 4
/
ATOMIC_SPECIES
Ge 72.64 Ge.upf
La 138.91 La.upf
Sr 87.62 Sr.upf
Cd 112.41 Cd.upf
ATOMIC_POSITIONS angstrom
Ge 2.7432 1.5838 1.1199
La 0.0000 0.0000 0.0000
Sr 5.4865 3.1676 2.2398
Cd 8.2297 4.7514 3.3598
CELL_PARAMETERS angstrom
5.4865 0.0000 0.0000
2.7432 4.7514 0.0000
2.7432 1.5838 4.4797
```

Summary:
The value obtained for the density of states at the Fermi level is 0.927 states/eV/atom. The calculation puts the spin magnetization at 0.000 μB per cell. As for the space-group type: F-43m. As for the calculated volume: 29.195 A^3/atom. The formation energy comes out at -445 meV/atom. The crystal system is cubic.


(9)
The following is a DFT calculation (GGA-PBE) of an optimized crystal structure of YAgHg4. Values from VASP.

The structure in Quantum ESPRESSO input format:
```
&SYSTEM
  ibrav = 0, nat = 12, ntyp = 3
/
ATOMIC_SPECIES
Hg 200.59 Hg.upf
Y 88.91 Y.upf
Ag 107.87 Ag.upf
ATOMIC_POSITIONS angstrom
Hg -0.5381 2.6013 7.6291
Hg -0.3059 3.3287 2.4255
Hg -0.5878 0.4577 2.0153
Y 2.3404 1.4402 3.4470
Hg 1.5333 7.0957 5.1320
Hg 1.2979 6.3697 10.3283
Hg 1.2482 4.2261 4.7144
Y 1.3346 6.0947 1.9586
Ag 1.2735 5.2947 7.5228
Hg -0.8232 -0.2683 7.2116
Ag -0.5634 1.5327 4.8208
Hg 1.0160 3.4987 9.9181
CELL_PARAMETERS angstrom
-2.9649 -0.7076 6.9380
2.8435 -0.8852 4.1915
0.8316 8.4201 1.2141
```

Summary:
As for the distance to the lowest polymorph of the same formula: 0 meV per atom. The value obtained for the density of states at the Fermi level is 0.490 states/eV/atom. The calculation puts the spin magnetization at 0.000 μB per cell. As for the space-group type: C2/m. As for the calculated volume: 23.252 A^3/atom. The formation energy comes out at -173 meV/atom. The crystal system is monoclinic.